Here is NbSiO2F after structural relaxation from Alexandria via LeMat-Bulk. Energies are from GGA-PBE.

It has space group P4/mmm (No. 123), with a = 3.451 Å, b = 3.451 Å, c = 5.025 Å, α = 90.00°, β = 90.00° and γ = 90.00°. The asymmetric unit holds Nb at (0.000, 0.000, 0.000), Si at (0.500, 0.500, 0.500), O at (0.000, 0.500, 0.500) and F at (0.500, 0.500, 0.000).

As for the calculated volume: 59.8 Å³/cell. Its uncorrected formation energy is -4.904 eV per formula unit. The density of states at the Fermi level comes out at 1.91 states/eV/f.u. For the total energy, the calculation gives -32.2 eV per cell.

Here is NbSnO2F after structural relaxation from Alexandria via LeMat-Bulk. Energies are from GGA-PBE.

It has space group P4/mmm (No. 123), with a = 4.076 Å, b = 4.076 Å, c = 4.414 Å, α = 90.00°, β = 90.00° and γ = 90.00°. The asymmetric unit holds Nb at (0.000, 0.000, 0.000), Sn at (0.500, 0.500, 0.500), O at (0.000, 0.500, 0.000) and F at (0.000, 0.000, 0.500).

As for the calculated volume: 73.3 Å³/cell. Its uncorrected formation energy is -8.489 eV per formula unit. The density of states at the Fermi level comes out at 3.10 states/eV/f.u. For the total energy, the calculation gives -34.3 eV per cell.

Here is NbSn2OF after structural relaxation from Alexandria via LeMat-Bulk. Energies are from GGA-PBE.

It has space group P4/mmm (No. 123), with a = 5.538 Å, b = 5.538 Å, c = 3.909 Å, α = 90.00°, β = 90.00° and γ = 90.00°. The asymmetric unit holds Nb at (0.000, 0.000, 0.000), Sn at (0.000, 0.500, 0.000), O at (0.000, 0.000, 0.500) and F at (0.500, 0.500, 0.500).

As for the calculated volume: 119.9 Å³/cell. Its uncorrected formation energy is -3.457 eV per formula unit. The density of states at the Fermi level comes out at 3.22 states/eV/f.u. For the total energy, the calculation gives -28.4 eV per cell.

Here is NbSnO2F after structural relaxation from Alexandria via LeMat-Bulk. Energies are from GGA-PBE.

It has space group P4/mmm (No. 123), with a = 4.186 Å, b = 4.186 Å, c = 4.247 Å, α = 90.00°, β = 90.00° and γ = 90.00°. The asymmetric unit holds Nb at (0.000, 0.000, 0.000), Sn at (0.500, 0.500, 0.500), O at (0.000, 0.500, 0.500) and F at (0.500, 0.500, 0.000).

As for the calculated volume: 74.4 Å³/cell. Its uncorrected formation energy is -3.179 eV per formula unit. The density of states at the Fermi level comes out at 3.70 states/eV/f.u. For the total energy, the calculation gives -29.0 eV per cell.

Here is SrNbO2F after structural relaxation from Alexandria via LeMat-Bulk. Energies are from GGA-PBE.

It has space group P4/mmm (No. 123), with a = 4.610 Å, b = 4.610 Å, c = 4.342 Å, α = 90.00°, β = 90.00° and γ = 90.00°. The asymmetric unit holds Sr at (0.000, 0.000, 0.000), Nb at (0.500, 0.500, 0.500), O at (0.000, 0.500, 0.000) and F at (0.000, 0.000, 0.500).

As for the calculated volume: 92.3 Å³/cell. Its uncorrected formation energy is -3.608 eV per formula unit. The density of states at the Fermi level comes out at 4.41 states/eV/f.u. For the total energy, the calculation gives -27.1 eV per cell.

Here is Sr2NbO4F after structural relaxation from Alexandria via LeMat-Bulk. Energies are from GGA-PBE.

It has space group C2/m (No. 12), with a = 10.807 Å, b = 3.294 Å, c = 7.123 Å, α = 90.00°, β = 116.14° and γ = 90.00°. The asymmetric unit holds Sr at (0.182, 0.000, 0.186), Nb at (0.000, 0.000, 0.500), O at (0.104, 0.500, 0.445), O at (0.143, 0.000, 0.789) and F at (0.000, 0.500, 0.000).

As for the calculated volume: 227.7 Å³/cell. Its uncorrected formation energy is -23.246 eV per formula unit. The density of states at the Fermi level comes out at 0.00 states/eV/f.u. For the total energy, the calculation gives -116.8 eV per cell.

Here is SrNbO2F after structural relaxation from Alexandria via LeMat-Bulk. Energies are from GGA-PBE.

It has space group P4/mmm (No. 123), with a = 4.124 Å, b = 4.124 Å, c = 4.288 Å, α = 90.00°, β = 90.00° and γ = 90.00°. The asymmetric unit holds Sr at (0.000, 0.000, 0.000), Nb at (0.500, 0.500, 0.500), O at (0.000, 0.500, 0.500) and F at (0.500, 0.500, 0.000).

As for the calculated volume: 72.9 Å³/cell. Its uncorrected formation energy is -12.392 eV per formula unit. The density of states at the Fermi level comes out at 2.67 states/eV/f.u. For the total energy, the calculation gives -35.9 eV per cell.

Here is SrNbOF2 after structural relaxation from Alexandria via LeMat-Bulk. Energies are from GGA-PBE.

It has space group P4/mmm (No. 123), with a = 4.479 Å, b = 4.479 Å, c = 4.075 Å, α = 90.00°, β = 90.00° and γ = 90.00°. The asymmetric unit holds Sr at (0.000, 0.000, 0.000), Nb at (0.500, 0.500, 0.500), O at (0.500, 0.500, 0.000) and F at (0.000, 0.500, 0.500).

Its distance to the lowest polymorph of the same formula is 0.00 eV per formula unit. As for the calculated volume: 81.8 Å³/cell. Its uncorrected formation energy is -11.018 eV per formula unit. The density of states at the Fermi level comes out at 3.07 states/eV/f.u. For the total energy, the calculation gives -31.5 eV per cell.

Here is SrNbOF2 after structural relaxation from Alexandria via LeMat-Bulk. Energies are from GGA-PBE.

It has space group P4/mmm (No. 123), with a = 4.454 Å, b = 4.454 Å, c = 4.950 Å, α = 90.00°, β = 90.00° and γ = 90.00°. The asymmetric unit holds Sr at (0.000, 0.000, 0.000), Nb at (0.500, 0.500, 0.500), O at (0.000, 0.000, 0.500) and F at (0.000, 0.500, 0.000).

Its distance to the lowest polymorph of the same formula is 4.47 eV per formula unit. As for the calculated volume: 98.2 Å³/cell. Its uncorrected formation energy is -6.546 eV per formula unit. The density of states at the Fermi level comes out at 4.28 states/eV/f.u. For the total energy, the calculation gives -27.0 eV per cell.

Here is TaNbO2F after structural relaxation from Alexandria via LeMat-Bulk. Energies are from GGA-PBE.

It has space group P4/mmm (No. 123), with a = 4.067 Å, b = 4.067 Å, c = 4.173 Å, α = 90.00°, β = 90.00° and γ = 90.00°. The asymmetric unit holds Ta at (0.000, 0.000, 0.000), Nb at (0.500, 0.500, 0.500), O at (0.000, 0.500, 0.500) and F at (0.500, 0.500, 0.000).

As for the calculated volume: 69.0 Å³/cell. Its uncorrected formation energy is -4.179 eV per formula unit. The density of states at the Fermi level comes out at 3.59 states/eV/f.u. For the total energy, the calculation gives -37.9 eV per cell.

Here is TaNbO2F after structural relaxation from Alexandria via LeMat-Bulk. Energies are from GGA-PBE.

It has space group P4/mmm (No. 123), with a = 4.035 Å, b = 4.035 Å, c = 4.179 Å, α = 90.00°, β = 90.00° and γ = 90.00°. The asymmetric unit holds Ta at (0.000, 0.000, 0.000), Nb at (0.500, 0.500, 0.500), O at (0.000, 0.500, 0.000) and F at (0.000, 0.000, 0.500).

As for the calculated volume: 68.0 Å³/cell. Its uncorrected formation energy is -6.124 eV per formula unit. The density of states at the Fermi level comes out at 3.36 states/eV/f.u. For the total energy, the calculation gives -39.8 eV per cell.

Here is TbNbO4F after structural relaxation from Alexandria via LeMat-Bulk. Energies are from GGA-PBE.

It has space group C2/m (No. 12), with a = 9.708 Å, b = 7.305 Å, c = 6.865 Å, α = 90.00°, β = 101.99° and γ = 90.00°. The asymmetric unit holds Tb at (0.194, 0.000, 0.078), Nb at (0.130, 0.500, 0.292), O at (0.068, 0.500, 0.759), O at (0.194, 0.311, 0.154), O at (0.204, 0.500, 0.569) and F at (0.011, 0.000, 0.816).

As for the calculated volume: 476.2 Å³/cell. Its uncorrected formation energy is -19.245 eV per formula unit. For the total energy, the calculation gives -222.6 eV per cell.

Here is TiNb2OF after structural relaxation from Alexandria via LeMat-Bulk. Energies are from GGA-PBE.

It has space group P4/mmm (No. 123), with a = 4.056 Å, b = 4.056 Å, c = 4.814 Å, α = 90.00°, β = 90.00° and γ = 90.00°. The asymmetric unit holds Ti at (0.000, 0.000, 0.000), Nb at (0.000, 0.500, 0.500), O at (0.500, 0.500, 0.500) and F at (0.500, 0.500, 0.000).

As for the calculated volume: 79.2 Å³/cell. Its uncorrected formation energy is -3.372 eV per formula unit. The density of states at the Fermi level comes out at 4.36 states/eV/f.u. For the total energy, the calculation gives -38.2 eV per cell.

Here is TiNbOF2 after structural relaxation from Alexandria via LeMat-Bulk. Energies are from GGA-PBE.

It has space group P4/mmm (No. 123), with a = 4.091 Å, b = 4.091 Å, c = 3.959 Å, α = 90.00°, β = 90.00° and γ = 90.00°. The asymmetric unit holds Ti at (0.000, 0.000, 0.000), Nb at (0.500, 0.500, 0.500), O at (0.000, 0.000, 0.500) and F at (0.000, 0.500, 0.000).

Its distance to the lowest polymorph of the same formula is 0.00 eV per formula unit. As for the calculated volume: 66.3 Å³/cell. Its uncorrected formation energy is -7.578 eV per formula unit. The density of states at the Fermi level comes out at 5.88 states/eV/f.u. For the total energy, the calculation gives -34.2 eV per cell.

Here is TiNbOF2 after structural relaxation from Alexandria via LeMat-Bulk. Energies are from GGA-PBE.

It has space group P4/mmm (No. 123), with a = 4.333 Å, b = 4.333 Å, c = 4.008 Å, α = 90.00°, β = 90.00° and γ = 90.00°. The asymmetric unit holds Ti at (0.000, 0.000, 0.000), Nb at (0.500, 0.500, 0.500), O at (0.500, 0.500, 0.000) and F at (0.000, 0.500, 0.500).

Its distance to the lowest polymorph of the same formula is 0.63 eV per formula unit. As for the calculated volume: 75.3 Å³/cell. Its uncorrected formation energy is -6.944 eV per formula unit. The density of states at the Fermi level comes out at 4.01 states/eV/f.u. For the total energy, the calculation gives -33.6 eV per cell.

Here is TiNbTlO4F2 after structural relaxation from Alexandria via LeMat-Bulk. Energies are from GGA-PBE.

It has space group Cc (No. 9), with a = 10.400 Å, b = 10.327 Å, c = 7.539 Å, α = 90.00°, β = 133.27° and γ = 90.00°. The asymmetric unit holds Ti at (0.000, 0.002, 0.000), Nb at (0.250, 0.239, 0.477), Tl at (0.061, 0.410, 0.871), O at (0.142, 0.130, 0.566), O at (0.171, 0.120, 0.217), O at (0.300, 0.384, 0.368), O at (0.479, 0.177, 0.718), F at (0.285, 0.378, 0.722) and F at (0.478, 0.433, 0.227).

As for the calculated volume: 589.6 Å³/cell. Its uncorrected formation energy is -23.552 eV per formula unit. The density of states at the Fermi level comes out at 0.00 states/eV/f.u. For the total energy, the calculation gives -269.8 eV per cell.

Here is NbTlO2F after structural relaxation from Alexandria via LeMat-Bulk. Energies are from GGA-PBE.

It has space group P4/mmm (No. 123), with a = 4.079 Å, b = 4.079 Å, c = 4.432 Å, α = 90.00°, β = 90.00° and γ = 90.00°. The asymmetric unit holds Nb at (0.000, 0.000, 0.000), Tl at (0.500, 0.500, 0.500), O at (0.000, 0.500, 0.000) and F at (0.000, 0.000, 0.500).

As for the calculated volume: 73.7 Å³/cell. Its uncorrected formation energy is -10.001 eV per formula unit. The density of states at the Fermi level comes out at 1.77 states/eV/f.u. For the total energy, the calculation gives -34.2 eV per cell.

Here is NbTlOF2 after structural relaxation from Alexandria via LeMat-Bulk. Energies are from GGA-PBE.

It has space group P4/mmm (No. 123), with a = 4.459 Å, b = 4.459 Å, c = 4.046 Å, α = 90.00°, β = 90.00° and γ = 90.00°. The asymmetric unit holds Nb at (0.000, 0.000, 0.000), Tl at (0.500, 0.500, 0.500), O at (0.000, 0.000, 0.500) and F at (0.000, 0.500, 0.000).

Its distance to the lowest polymorph of the same formula is 0.00 eV per formula unit. As for the calculated volume: 80.4 Å³/cell. Its uncorrected formation energy is -9.809 eV per formula unit. The density of states at the Fermi level comes out at 1.04 states/eV/f.u. For the total energy, the calculation gives -30.9 eV per cell.

Here is NbTl2OF after structural relaxation from Alexandria via LeMat-Bulk. Energies are from GGA-PBE.

It has space group P4/mmm (No. 123), with a = 5.147 Å, b = 5.147 Å, c = 3.520 Å, α = 90.00°, β = 90.00° and γ = 90.00°. The asymmetric unit holds Nb at (0.000, 0.000, 0.000), Tl at (0.000, 0.500, 0.500), O at (0.500, 0.500, 0.500) and F at (0.500, 0.500, 0.000).

Its distance to the lowest polymorph of the same formula is 1.68 eV per formula unit. As for the calculated volume: 93.2 Å³/cell. Its uncorrected formation energy is 1.737 eV per formula unit. The density of states at the Fermi level comes out at 5.84 states/eV/f.u. For the total energy, the calculation gives -19.9 eV per cell.

Here is NbTlOF2 after structural relaxation from Alexandria via LeMat-Bulk. Energies are from GGA-PBE.

It has space group P4/mmm (No. 123), with a = 4.544 Å, b = 4.544 Å, c = 4.317 Å, α = 90.00°, β = 90.00° and γ = 90.00°. The asymmetric unit holds Nb at (0.000, 0.000, 0.000), Tl at (0.500, 0.500, 0.500), O at (0.500, 0.500, 0.000) and F at (0.000, 0.500, 0.500).

Its distance to the lowest polymorph of the same formula is 7.92 eV per formula unit. As for the calculated volume: 89.1 Å³/cell. Its uncorrected formation energy is -1.889 eV per formula unit. The density of states at the Fermi level comes out at 6.12 states/eV/f.u. For the total energy, the calculation gives -23.0 eV per cell.